InSn2IrBr | PBE | relaxed

Geometry as CIF:
```
data_InSn2IrBr
_space_group_name_H-M_alt 'P 4/m m m'
_space_group_IT_number 123
_space_group_name_Hall '-P 4 2'
_cell_length_a 5.173
_cell_length_b 5.173
_cell_length_c 5.262
_cell_angle_alpha 90.00
_cell_angle_beta 90.00
_cell_angle_gamma 90.00
loop_
_atom_site_label
_atom_site_type_symbol
_atom_site_fract_x
_atom_site_fract_y
_atom_site_fract_z
_atom_site_occupancy
In1 In 0.000 0.000 0.000 1
Sn1 Sn 0.000 0.500 0.500 1
Ir1 Ir 0.000 0.000 0.500 1
Br1 Br 0.500 0.500 0.000 1
```

## Properties
Uncorrected formation energy (eV/atom): -0.251
Energy (eV/atom): -4.51